[1]
Compound: Be2SbPt
Source: the Alexandria database
Functional: GGA-PBEsol
Structure: relaxed

Cell lengths 3.9415, 3.9415, 3.6059 Å; angles 90.00, 90.00, 90.00 degrees
Positions (direct):
Be1 0.0000 0.5000 0.0000
Be2 0.5000 0.0000 0.0000
Sb1 0.0000 0.0000 0.5000
Pt1 0.5000 0.5000 0.5000

## Properties
Symmetry ... P4/mmm (123)
Raw formation energy ... 108 meV/atom
Energy ... -4.7720 eV per atom

---

[2]
Compound: Zn3Fe
Source: the Alexandria database
Functional: GGA-PBEsol
Structure: relaxed

Cell lengths 2.6268, 4.2164, 4.5937 Å; angles 90.00, 90.00, 90.00 degrees
Positions (direct):
Zn1 0.0000 0.0000 0.0000
Zn2 0.0000 0.5000 0.3399
Zn3 0.5000 0.5000 0.8175
Fe1 0.5000 0.0000 0.4993

## Properties
Symmetry ... Pmm2 (25)
Energy ... -3.4005 eV per atom

---

[3]
Compound: Cs2Ge2S5
Source: the Alexandria database
Functional: GGA-PBEsol
Structure: relaxed

Cell lengths 11.1871, 11.1871, 9.4379 Å; angles 100.37, 100.37, 90.34 degrees
Positions (direct):
Cs1 0.0565 0.2067 0.1332
Cs2 0.2067 0.0565 0.6332
Cs3 0.2098 0.4803 0.6314
Cs4 0.4803 0.2098 0.1314
Cs5 0.5197 0.7902 0.8686
Cs6 0.7902 0.5197 0.3686
Cs7 0.7933 0.9435 0.3668
Cs8 0.9435 0.7933 0.8668
Ge1 0.1384 0.7307 0.3815
Ge2 0.2658 0.5295 0.1052
Ge3 0.2693 0.8616 0.1185
Ge4 0.4705 0.7342 0.3948
Ge5 0.5295 0.2658 0.6052
Ge6 0.7307 0.1384 0.8815
Ge7 0.7342 0.4705 0.8948
Ge8 0.8616 0.2693 0.6185
S1 0.0087 0.7535 0.5227
S2 0.1164 0.5462 0.2400
S3 0.1186 0.8814 0.2500
S4 0.2432 0.3587 0.9609
S5 0.2443 0.6781 0.9702
S6 0.2465 0.9913 0.9773
S7 0.3219 0.7557 0.5298
S8 0.3587 0.2432 0.4609
S9 0.4504 0.5496 0.2500
S10 0.4538 0.8836 0.2600
S11 0.5462 0.1164 0.7400
S12 0.5496 0.4504 0.7500
S13 0.6413 0.7568 0.5391
S14 0.6781 0.2443 0.4702
S15 0.7535 0.0087 0.0227
S16 0.7557 0.3219 0.0298
S17 0.7568 0.6413 0.0391
S18 0.8814 0.1186 0.7500
S19 0.8836 0.4538 0.7600
S20 0.9913 0.2465 0.4773

## Properties
Symmetry ... C2/c (15)
Raw formation energy ... -809 meV/atom
Energy ... -4.5516 eV per atom

---

[4]
Compound: Nb2AgBSe
Source: the Alexandria database
Functional: GGA-PBEsol
Structure: relaxed

Cell lengths 4.4556, 4.4556, 4.0596 Å; angles 90.00, 90.00, 90.00 degrees
Positions (direct):
Nb1 0.0000 0.5000 0.0000
Nb2 0.5000 0.0000 0.0000
Ag1 0.0000 0.0000 0.5000
B1 0.0000 0.0000 0.0000
Se1 0.5000 0.5000 0.5000

## Properties
Symmetry ... P4/mmm (123)
Raw formation energy ... 284 meV/atom
Energy ... -6.8799 eV per atom

---

[5]
Compound: LiTb5Sn3
Source: the Alexandria database
Functional: GGA-PBEsol
Structure: relaxed

Cell lengths 9.1766, 9.1766, 6.3623 Å; angles 90.00, 90.00, 120.00 degrees
Positions (direct):
Li1 0.0000 0.0000 0.0000
Li2 0.0000 0.0000 0.5000
Tb1 0.0000 0.3036 0.2500
Tb2 0.0000 0.6964 0.7500
Tb3 0.3036 0.0000 0.2500
Tb4 0.3036 0.3036 0.7500
Tb5 0.3333 0.6667 0.0000
Tb6 0.3333 0.6667 0.5000
Tb7 0.6667 0.3333 0.0000
Tb8 0.6667 0.3333 0.5000
Tb9 0.6964 0.0000 0.7500
Tb10 0.6964 0.6964 0.2500
Sn1 0.0000 0.3557 0.7500
Sn2 0.0000 0.6443 0.2500
Sn3 0.3557 0.0000 0.7500
Sn4 0.3557 0.3557 0.2500
Sn5 0.6443 0.0000 0.2500
Sn6 0.6443 0.6443 0.7500

## Properties
Symmetry ... P6_3/mcm (193)
Energy ... -5.0433 eV per atom

---

[6]
Compound: Mg2AsWCl
Source: the Alexandria database
Functional: GGA-PBEsol
Structure: relaxed

Cell lengths 4.7750, 4.7750, 4.3579 Å; angles 90.00, 90.00, 90.00 degrees
Positions (direct):
Mg1 0.0000 0.5000 0.0000
Mg2 0.5000 0.0000 0.0000
As1 0.0000 0.0000 0.5000
W1 0.5000 0.5000 0.5000
Cl1 0.5000 0.5000 0.0000

## Properties
Symmetry ... P4/mmm (123)
Raw formation energy ... 816 meV/atom
Energy ... -4.0552 eV per atom

---

[7]
Compound: Ba2P2O7
Source: the Alexandria database
Functional: GGA-PBEsol
Structure: relaxed

Cell lengths 7.1819, 9.2394, 9.2394 Å; angles 118.71, 90.00, 90.00 degrees
Positions (direct):
Ba1 0.0000 0.0000 0.0000
Ba2 0.0000 0.2828 0.5751
Ba3 0.0000 0.5751 0.2828
Ba4 0.5000 0.2927 0.9117
Ba5 0.5000 0.6824 0.6824
Ba6 0.5000 0.9117 0.2927
P1 0.2221 0.6318 0.9713
P2 0.2221 0.9713 0.6318
P3 0.2822 0.2809 0.2809
P4 0.7178 0.2809 0.2809
P5 0.7779 0.6318 0.9713
P6 0.7779 0.9713 0.6318
O1 0.0000 0.0162 0.6637
O2 0.0000 0.6637 0.0162
O3 0.2100 0.1291 0.2892
O4 0.2100 0.2892 0.1291
O5 0.2476 0.4795 0.8035
O6 0.2476 0.8035 0.4795
O7 0.2511 0.4415 0.4415
O8 0.2887 0.7896 0.9734
O9 0.2887 0.9734 0.7896
O10 0.2988 0.1129 0.6092
O11 0.2988 0.6092 0.1129
O12 0.5000 0.2442 0.2442
O13 0.7012 0.1129 0.6092
O14 0.7012 0.6092 0.1129
O15 0.7113 0.7896 0.9734
O16 0.7113 0.9734 0.7896
O17 0.7489 0.4415 0.4415
O18 0.7524 0.4795 0.8035
O19 0.7524 0.8035 0.4795
O20 0.7900 0.1291 0.2892
O21 0.7900 0.2892 0.1291

## Properties
Symmetry ... Amm2 (38)
Raw formation energy ... -2757 meV/atom
Energy ... -7.5413 eV per atom

---

[8]
Compound: RbSnSe3
Source: the Alexandria database
Functional: GGA-PBEsol
Structure: relaxed

Cell lengths 5.4932, 5.4932, 5.4932 Å; angles 90.00, 90.00, 90.00 degrees
Positions (direct):
Rb1 0.0000 0.0000 0.0000
Sn1 0.5000 0.5000 0.5000
Se1 0.0000 0.0000 0.5000
Se2 0.0000 0.5000 0.0000
Se3 0.5000 0.0000 0.0000

## Properties
Symmetry ... Pm-3m (221)
Raw formation energy ... 900 meV/atom
Energy ... -2.4667 eV per atom